Record 1
# GGA-PBE Ta6Nb12Pt, relaxed
# E_form: 0.07 eV/atom
# Crystal system: trigonal
# Magnetization: 0.0 μB per formula unit
# Theoretical density: 11.11 g cm⁻³
data_Ta6Nb12Pt
_chemical_formula_sum 'Ta18 Nb36 Pt3'
_cell_length_a 9.9994
_cell_length_b 9.9994
_cell_length_c 12.4071
_cell_angle_alpha 90.00
_cell_angle_beta 90.00
_cell_angle_gamma 120.00
_symmetry_space_group_name_H-M 'R -3'
_symmetry_Int_Tables_number 148
_symmetry_space_group_name_Hall '-R 3'
loop_
_atom_site_label
_atom_site_type_symbol
_atom_site_fract_x
_atom_site_fract_y
_atom_site_fract_z
_atom_site_occupancy
Ta1 Ta 0.0328 0.5931 0.2094 1
Nb1 Nb 0.0534 0.8678 0.3028 1
Nb2 Nb 0.0632 0.2265 0.9143 1
Pt1 Pt 0.0000 0.0000 0.5000 1

***

Record 2
# GGA-PBE TaNbZnPt2, relaxed
# E_form: 0.82 eV/atom
# Crystal system: tetragonal
# Magnetization: 0.0 μB per formula unit
# Theoretical density: 12.82 g cm⁻³
data_TaNbZnPt2
_chemical_formula_sum 'Ta1 Nb1 Zn1 Pt2'
_cell_length_a 4.502
_cell_length_b 4.502
_cell_length_c 4.662
_cell_angle_alpha 90.00
_cell_angle_beta 90.00
_cell_angle_gamma 90.00
_symmetry_space_group_name_H-M 'P 4/m m m'
_symmetry_Int_Tables_number 123
_symmetry_space_group_name_Hall '-P 4 2'
loop_
_atom_site_label
_atom_site_type_symbol
_atom_site_fract_x
_atom_site_fract_y
_atom_site_fract_z
_atom_site_occupancy
Ta1 Ta 0.000 0.000 0.000 1
Nb1 Nb 0.500 0.500 0.000 1
Zn1 Zn 0.500 0.500 0.500 1
Pt1 Pt 0.000 0.500 0.500 1

***

Q: What is the formula in the first record?
A: Ta6Nb12Pt